An optimized crystal structure of La7SBr12, computed with PBE.

Output
Total magnetization   0.0 μB per cell
Formation energy without anion corrections   -1.87 eV/atom

Unit cell a=15.4031 b=15.4031 c=10.2785 alpha=90.00 beta=90.00 gamma=120.00
Closest atoms and distances in Å follow each position.
Space group R-3 (No. 148, hexagonal axes)
Inequivalent atoms, fractional coordinates:
La 0.0000 0.0000 0.0000  6 Br 3.03
La 0.0434 0.1636 0.3439  1 S 2.77, 4 Br 3.03-3.07
S 0.0000 0.0000 0.5000  6 La 2.77
Br 0.0239 0.5853 0.1626  3 La 3.03-3.18
Br 0.0491 0.1843 0.8406  3 La 3.03-3.07